CoRu3: single point on PBEsol structure, meta-GGA SCAN.

Output
* V: 12.55 Å³ per atom
* Fermi-level density of states: 3.90 states/eV/cell
* space-group type: C2/m
* energy of formation: 1.01 eV per formula unit

a = 4.507 Å, b = 4.507 Å, c = 4.513 Å
α = 99.51°, β = 99.51°, γ = 33.76°
Positions (direct):
1 Co 0.000 0.000 0.000
2 Ru 0.251 0.251 0.757
3 Ru 0.500 0.500 0.500
4 Ru 0.749 0.749 0.243